# FeIrRh3 | Alexandria | PBE | relaxed
data_FeIrRh3
_cell_length_a 6.0110
_cell_length_b 3.8414
_cell_length_c 6.0222
_cell_angle_alpha 90.00
_cell_angle_beta 90.07
_cell_angle_gamma 90.00
_symmetry_space_group_name_H-M 'P 1 21/m 1'
_symmetry_Int_Tables_number 11
loop_
_symmetry_equiv_pos_as_xyz
'x,y,z'
'-x,-y,-z'
'-x,y+1/2,-z'
'x,-y+1/2,z'
loop_
_atom_site_label
_atom_site_type_symbol
_atom_site_fract_x
_atom_site_fract_y
_atom_site_fract_z
Fe1 Fe 0.2478 0.2500 0.2494
Ir1 Ir 0.1460 0.7500 0.9493
Rh1 Rh 0.0487 0.2500 0.6482
Rh2 Rh 0.3545 0.7500 0.5525
Rh3 Rh 0.4523 0.2500 0.8538
# Formation enthalpy at 0 K = -0.03 eV/atom
# Density = 13.298 g cm⁻³
# Total moment = 3.29 μB per formula unit
# D(E_F) = 5.7 states/eV/f.u.

***

# FeIr3Rh6 | Alexandria | PBE | relaxed
data_FeIr3Rh6
_cell_length_a 7.2132
_cell_length_b 4.4028
_cell_length_c 9.4223
_cell_angle_alpha 90.00
_cell_angle_beta 108.89
_cell_angle_gamma 90.00
_symmetry_space_group_name_H-M 'P 1 21/m 1'
_symmetry_Int_Tables_number 11
loop_
_symmetry_equiv_pos_as_xyz
'x,y,z'
'-x,-y,-z'
'-x,y+1/2,-z'
'x,-y+1/2,z'
loop_
_atom_site_label
_atom_site_type_symbol
_atom_site_fract_x
_atom_site_fract_y
_atom_site_fract_z
Fe1 Fe 0.1006 0.2500 0.0667
Ir1 Ir 0.1008 0.7500 0.7365
Ir2 Ir 0.2957 0.2500 0.8694
Ir3 Ir 0.3028 0.7500 0.5344
Rh1 Rh 0.0945 0.7500 0.2280
Rh2 Rh 0.0982 0.2500 0.5669
Rh3 Rh 0.2943 0.7500 0.0316
Rh4 Rh 0.2963 0.2500 0.3634
Rh5 Rh 0.4949 0.7500 0.3324
Rh6 Rh 0.4994 0.7500 0.8344
# Formation enthalpy at 0 K = 0.01 eV/atom
# Density = 14.662 g cm⁻³
# Total moment = 3.54 μB per formula unit
# D(E_F) = 14.8 states/eV/f.u.

***

# Fe2IrRh | Alexandria | PBE | relaxed
data_Fe2IrRh
_cell_length_a 2.6628
_cell_length_b 4.2680
_cell_length_c 4.8650
_cell_angle_alpha 90.00
_cell_angle_beta 95.25
_cell_angle_gamma 90.00
_symmetry_space_group_name_H-M 'P 1 2/m 1'
_symmetry_Int_Tables_number 10
loop_
_symmetry_equiv_pos_as_xyz
'x,y,z'
'-x,-y,-z'
'-x,y,-z'
'x,-y,z'
loop_
_atom_site_label
_atom_site_type_symbol
_atom_site_fract_x
_atom_site_fract_y
_atom_site_fract_z
Fe1 Fe 0.2432 0.0000 0.2477
Ir1 Ir 0.5000 0.5000 0.0000
Rh1 Rh 0.0000 0.5000 0.5000
# Formation enthalpy at 0 K = 0.10 eV/atom
# Density = 12.269 g cm⁻³
# Total moment = 7.44 μB per formula unit
# D(E_F) = 4.3 states/eV/f.u.

***

# FeIrRh2 | Alexandria | PBE | relaxed
data_FeIrRh2
_cell_length_a 8.9414
_cell_length_b 2.7154
_cell_length_c 4.6320
_cell_angle_alpha 90.00
_cell_angle_beta 100.69
_cell_angle_gamma 90.00
_symmetry_space_group_name_H-M 'C 1 2/m 1'
_symmetry_Int_Tables_number 12
loop_
_symmetry_equiv_pos_as_xyz
'x,y,z'
'-x,-y,-z'
'-x,y,-z'
'x,-y,z'
'x+1/2,y+1/2,z'
'-x+1/2,-y+1/2,-z'
'-x+1/2,y+1/2,-z'
'x+1/2,-y+1/2,z'
loop_
_atom_site_label
_atom_site_type_symbol
_atom_site_fract_x
_atom_site_fract_y
_atom_site_fract_z
Fe1 Fe 0.0000 0.0000 0.0000
Ir1 Ir 0.0000 0.5000 0.5000
Rh1 Rh 0.2492 0.5000 0.2484
# Formation enthalpy at 0 K = -0.01 eV/atom
# Density = 13.640 g cm⁻³
# Total moment = 3.08 μB per formula unit
# D(E_F) = 5.4 states/eV/f.u.

***

# FeIr6Rh8 | Alexandria | PBE | relaxed
data_FeIr6Rh8
_cell_length_a 7.1361
_cell_length_b 7.1361
_cell_length_c 15.8868
_cell_angle_alpha 90.00
_cell_angle_beta 90.00
_cell_angle_gamma 120.00
_symmetry_space_group_name_H-M 'R -3'
_symmetry_Int_Tables_number 148
_symmetry_space_group_name_Hall '-R 3'
loop_
_atom_site_label
_atom_site_type_symbol
_atom_site_fract_x
_atom_site_fract_y
_atom_site_fract_z
Fe1 Fe 0.0000 0.0000 0.0000
Ir1 Ir 0.0108 0.7086 0.6277
Rh1 Rh 0.0000 0.0000 0.2676
Rh2 Rh 0.0092 0.6924 0.1290
# Formation enthalpy at 0 K = 0.30 eV/atom
# Density = 14.451 g cm⁻³
# Total moment = 2.61 μB per formula unit
# D(E_F) = 22.3 states/eV/f.u.

***

# Fe3Ir3Rh2 | Alexandria | PBE | relaxed
data_Fe3Ir3Rh2
_cell_length_a 3.7972
_cell_length_b 3.8131
_cell_length_c 7.4779
_cell_angle_alpha 90.00
_cell_angle_beta 90.00
_cell_angle_gamma 90.00
_symmetry_space_group_name_H-M 'P m m m'
_symmetry_Int_Tables_number 47
loop_
_symmetry_equiv_pos_as_xyz
'x,y,z'
'-x,-y,-z'
'-x,-y,z'
'x,y,-z'
'x,-y,-z'
'-x,y,z'
'-x,y,-z'
'x,-y,z'
loop_
_atom_site_label
_atom_site_type_symbol
_atom_site_fract_x
_atom_site_fract_y
_atom_site_fract_z
Fe1 Fe 0.0000 0.0000 0.0000
Fe2 Fe 0.0000 0.0000 0.5000
Fe3 Fe 0.5000 0.5000 0.0000
Ir1 Ir 0.5000 0.0000 0.2432
Ir2 Ir 0.5000 0.5000 0.5000
Rh1 Rh 0.0000 0.5000 0.2455
# Formation enthalpy at 0 K = -0.04 eV/atom
# Density = 14.569 g cm⁻³
# Total moment = 8.50 μB per formula unit
# D(E_F) = 9.4 states/eV/f.u.